The following is a meta-GGA SCAN calculation of a PBEsol-optimized structure of LiTaHg2, from Alexandria.

Cell and atoms, written as POSCAR:
```
LiTaHg2
1.0
2.982 0.000 0.000
1.491 2.583 0.000
1.491 0.861 9.597
Hg Li Ta
2 1 1
Direct
0.753 0.753 0.741
0.247 0.247 0.259
0.500 0.500 0.500
0.000 0.000 0.000
```

Calculated values
- SG = No. 166
- volume (A^3/atom) = 18.5
- spin magnetization (μB per atom) = 0.00
- energy of formation (eV/atom) = 0.11